# 1
Material: Dy2Ho3Tm
Method: DFT, PBE
State: relaxed

```
Dy2Ho3Tm
1.0
6.0791 0.0856 -0.2200
-0.1853 6.5400 -2.5757
0.3436 -0.1078 9.2990
Dy Ho Tm
4 6 2
direct
0.5835 0.5412 0.3327
0.9165 0.2085 0.6673
0.0835 0.7915 0.3327
0.4165 0.4588 0.6673
0.4174 0.9587 0.6678
0.9174 0.7090 0.6678
0.0826 0.2910 0.3322
0.7500 0.6254 0.0000
0.2500 0.3746 0.0000
0.5826 0.0413 0.3322
0.2500 0.8753 0.0000
0.7500 0.1247 0.0000
```

Values from the calculation:
Magnetization, Bohr magnetons per cell: 0.0
Calculated formation energy, eV per atom: 0.0212
Energy, eV/atom: -4.55
Crystal system: monoclinic
Symmetry: No. 15

# 2
Material: Dy11Ho4Tm9
Method: DFT, PBE
State: relaxed

```
Dy11Ho4Tm9
1.0
3.4929 0.0000 0.0000
0.0000 14.2142 -3.1093
0.0000 2.7268 14.2926
Dy Tm Ho
11 9 4
direct
0.0000 0.7591 0.7591
0.0000 0.6557 0.3443
0.0000 0.4147 0.0787
0.0000 0.3443 0.6557
0.0000 0.0000 0.0000
0.0000 0.5853 0.9213
0.0000 0.8294 0.1706
0.0000 0.9213 0.5853
0.0000 0.0787 0.4147
0.0000 0.1706 0.8294
0.0000 0.2409 0.2409
0.5000 0.5000 0.5000
0.5000 0.0354 0.2061
0.5000 0.6227 0.1304
0.5000 0.9646 0.7939
0.5000 0.2061 0.0354
0.5000 0.3773 0.8696
0.5000 0.8696 0.3773
0.5000 0.7939 0.9646
0.5000 0.1304 0.6227
0.5000 0.5527 0.7212
0.5000 0.4473 0.2788
0.5000 0.7212 0.5527
0.5000 0.2788 0.4473
```

Values from the calculation:
Magnetization, Bohr magnetons per cell: 0.0
Calculated formation energy, eV per atom: 0.0576
Energy, eV/atom: -4.49
Crystal system: orthorhombic
Symmetry: No. 65

# 3
Material: Dy8HoTm5
Method: DFT, PBE
State: relaxed

```
Dy8HoTm5
1.0
-7.1193 -2.8614 3.3085
-0.2756 -0.2069 -8.3489
6.0964 -4.9101 2.9229
Dy Tm Ho
8 5 1
direct
0.7289 0.2548 0.3347
0.0800 0.7452 0.4742
0.5743 0.9169 0.8375
0.3425 0.2631 0.4257
0.6653 0.3942 0.9200
0.5258 0.6058 0.2711
0.9206 0.0831 0.6575
0.1626 0.7369 0.0794
0.5000 0.0000 0.5000
0.8665 0.9026 0.1856
0.2829 0.0974 0.9639
0.8144 0.6809 0.7171
0.0361 0.3191 0.1335
0.2500 0.5000 0.7500
```

Values from the calculation:
Magnetization, Bohr magnetons per cell: 0.0
Calculated formation energy, eV per atom: 0.2593
Energy, eV/atom: -4.29
Crystal system: tetragonal
Symmetry: No. 82

# 4
Material: DyHo4Tm10
Method: DFT, PBE
State: relaxed

```
DyHo4Tm10
1.0
-2.5429 1.3765 6.9931
-0.7030 -7.5630 5.3274
6.6867 1.8288 6.1659
Tm Ho Dy
10 4 1
direct
0.3508 0.6999 0.0999
0.6492 0.3001 0.9001
0.7500 0.5000 0.5000
0.2500 0.5000 0.5000
0.4507 0.9001 0.6999
0.8494 0.6999 0.0999
0.1506 0.3001 0.9001
0.5493 0.0999 0.3001
0.0507 0.0999 0.3001
0.9493 0.9001 0.6999
0.1996 0.4005 0.2003
0.3999 0.7997 0.4005
0.8004 0.5995 0.7997
0.6001 0.2003 0.5995
0.0000 0.0000 0.0000
```

Values from the calculation:
Magnetization, Bohr magnetons per cell: 0.0
Calculated formation energy, eV per atom: 0.7323
Energy, eV/atom: -3.78
Crystal system: tetragonal
Symmetry: No. 87

# 5
Material: Dy3Ho4Tm
Method: DFT, PBE
State: relaxed

```
Dy3Ho4Tm
1.0
-4.5917 2.8197 1.4069
-1.1562 -2.7936 1.8254
8.2576 3.0251 9.8657
Tm Ho Dy
1 4 3
direct
0.5000 0.0000 0.0000
0.6028 0.5002 0.2057
0.2771 0.4990 0.5542
0.3972 0.4998 0.7943
0.7229 0.5010 0.4458
0.1544 0.0000 0.3087
0.8456 0.0000 0.6913
0.0000 0.5000 0.0000
```

Values from the calculation:
Magnetization, Bohr magnetons per cell: 0.0
Calculated formation energy, eV per atom: 0.1939
Energy above the lowest structure with this stoichiometry, eV per atom: 0.191
Energy, eV/atom: -4.38
Crystal system: orthorhombic
Symmetry: No. 65

# 6
Material: Dy4Ho5Tm3
Method: DFT, PBE
State: relaxed

```
Dy4Ho5Tm3
1.0
5.8087 0.0000 0.0000
2.9044 7.5029 -2.6343
2.9044 -0.9087 9.0120
Dy Tm Ho
4 3 5
direct
0.1642 0.0503 0.6212
0.8594 0.2215 0.0597
0.1406 0.7785 0.9403
0.8358 0.9497 0.3788
0.4777 0.3123 0.7324
0.5223 0.6877 0.2676
0.0000 0.5000 0.5000
0.3711 0.0555 0.2022
0.2121 0.4607 0.1150
0.7879 0.5393 0.8850
0.6289 0.9445 0.7978
0.5000 0.5000 0.5000
```

Values from the calculation:
Magnetization, Bohr magnetons per cell: 0.6
Calculated formation energy, eV per atom: 0.2469
Energy above the lowest structure with this stoichiometry, eV per atom: 0.226
Energy, eV/atom: -4.31
Crystal system: monoclinic
Symmetry: No. 12

Q: Look up the calculated formation energy of the sixth one.
A: 0.2469 eV per atom

What did the fourth record say?
Material: DyHo4Tm10
Method: DFT, PBE
State: relaxed

```
DyHo4Tm10
1.0
-2.5429 1.3765 6.9931
-0.7030 -7.5630 5.3274
6.6867 1.8288 6.1659
Tm Ho Dy
10 4 1
direct
0.3508 0.6999 0.0999
0.6492 0.3001 0.9001
0.7500 0.5000 0.5000
0.2500 0.5000 0.5000
0.4507 0.9001 0.6999
0.8494 0.6999 0.0999
0.1506 0.3001 0.9001
0.5493 0.0999 0.3001
0.0507 0.0999 0.3001
0.9493 0.9001 0.6999
0.1996 0.4005 0.2003
0.3999 0.7997 0.4005
0.8004 0.5995 0.7997
0.6001 0.2003 0.5995
0.0000 0.0000 0.0000
```

Values from the calculation:
Magnetization, Bohr magnetons per cell: 0.0
Calculated formation energy, eV per atom: 0.7323
Energy, eV/atom: -3.78
Crystal system: tetragonal
Symmetry: No. 87